# Cs2TaSb (PBE, relaxed)
# **Formation energy without anion corrections**: 1.38 eV/atom
# **VASP energy**: -48.65 eV for the cell shown
data_Cs2TaSb
_cell_length_a 8.7828
_cell_length_b 8.7828
_cell_length_c 8.7828
_cell_angle_alpha 90.00
_cell_angle_beta 90.00
_cell_angle_gamma 90.00
_symmetry_space_group_name_H-M 'F m -3 m'
_symmetry_Int_Tables_number 225
_symmetry_space_group_name_Hall '-F 4 2 3'
loop_
_atom_site_label
_atom_site_fract_x
_atom_site_fract_y
_atom_site_fract_z
_atom_site_occupancy
Cs1 0.2500 0.2500 0.2500 1
Ta1 0.0000 0.0000 0.0000 1
Sb1 0.0000 0.0000 0.5000 1